CsRb2I4: relaxed, PBE-GGA.

extended XYZ file:
```
7
Lattice="-1.761 1.383 6.737 -2.303 -6.671 0.768 6.668 -5.323 6.576" Properties=species:S:1:pos:R:3 pbc="T T T"
Cs 0.000 0.000 0.000
I -0.526 -6.377 8.653
I 3.130 -4.233 5.428
I -1.152 -3.336 0.384
I -0.880 0.692 3.368
Rb 2.692 -7.368 9.698
Rb -0.088 -3.242 4.383
```

Output
Spin magnetization: 1.04 μB per cell
Energy relative to the elements, uncorrected: -1.04 eV per atom
V: 480.33 Å³ per cell
Density: 2.81 g/cm3
D(E_F): 12.57 states/eV per cell